<one>
{"formula": "LiMn2As2", "functional": "GGA-PBE", "state": "relaxed", "lattice_angstrom": [[3.817, 0.000, 0.000], [0.000, 3.817, 0.000], [0.000, 0.000, 10.904]], "species": ["Li", "Li", "Mn", "Mn", "Mn", "Mn", "As", "As", "As", "As"], "fractional_positions": [[0.000, 0.000, 0.000], [0.500, 0.500, 0.500], [0.000, 0.500, 0.250], [0.000, 0.500, 0.750], [0.500, 0.000, 0.250], [0.500, 0.000, 0.750], [0.000, 0.000, 0.382], [0.000, 0.000, 0.618], [0.500, 0.500, 0.118], [0.500, 0.500, 0.882]], "spacegroup": "I4/mmm, No. 139"}

---

<two>
{"formula": "LiMn2As2", "functional": "GGA-PBE", "state": "relaxed", "lattice_angstrom": [[7.010, 0.000, 0.000], [0.000, 7.010, 0.000], [0.000, 0.000, 3.099]], "species": ["Li", "Li", "Mn", "Mn", "Mn", "Mn", "As", "As", "As", "As"], "fractional_positions": [[0.000, 0.000, 0.000], [0.500, 0.500, 0.000], [0.132, 0.368, 0.500], [0.368, 0.868, 0.500], [0.632, 0.132, 0.500], [0.868, 0.632, 0.500], [0.158, 0.658, 0.000], [0.342, 0.158, 0.000], [0.658, 0.842, 0.000], [0.842, 0.342, 0.000]], "spacegroup": "P4/mbm, No. 127"}

---

Stability, highest: <one>

---

<one>
{"formula": "LiMn3As", "functional": "GGA-PBE", "state": "relaxed", "lattice_angstrom": [[4.697, 0.000, 0.000], [0.000, 4.697, 0.000], [0.000, 0.000, 4.697]], "species": ["Li", "Mn", "Mn", "Mn", "As"], "fractional_positions": [[0.000, 0.000, 0.000], [0.000, 0.500, 0.500], [0.500, 0.000, 0.500], [0.500, 0.500, 0.000], [0.500, 0.500, 0.500]], "spacegroup": "Pm-3m, No. 221"}

---

<two>
{"formula": "LiMn3As", "functional": "GGA-PBE", "state": "relaxed", "lattice_angstrom": [[4.287, 0.000, 0.000], [0.000, 4.287, 0.000], [0.000, 0.000, 4.287]], "species": ["Li", "Mn", "Mn", "Mn", "As"], "fractional_positions": [[0.000, 0.000, 0.000], [0.000, 0.000, 0.500], [0.000, 0.500, 0.000], [0.500, 0.000, 0.000], [0.500, 0.500, 0.500]], "spacegroup": "Pm-3m, No. 221"}

---

Stability, highest: <one>

---

<one>
{"formula": "LiMn2AsN", "functional": "GGA-PBE", "state": "relaxed", "lattice_angstrom": [[4.689, 0.000, 0.000], [0.000, 4.689, 0.000], [0.000, 0.000, 4.065]], "species": ["Li", "Mn", "Mn", "As", "N"], "fractional_positions": [[0.000, 0.000, 0.000], [0.000, 0.500, 0.500], [0.500, 0.000, 0.500], [0.500, 0.500, 0.500], [0.500, 0.500, 0.000]], "spacegroup": "P4/mmm, No. 123"}

---

<two>
{"formula": "LiMn2AsN", "functional": "GGA-PBE", "state": "relaxed", "lattice_angstrom": [[3.937, 0.000, 0.000], [0.000, 3.937, 0.000], [0.000, 0.000, 3.959]], "species": ["Li", "Mn", "Mn", "As", "N"], "fractional_positions": [[0.000, 0.000, 0.000], [0.000, 0.500, 0.500], [0.500, 0.000, 0.500], [0.500, 0.500, 0.000], [0.000, 0.000, 0.500]], "spacegroup": "P4/mmm, No. 123"}

---

Stability, highest: <two>